TcPS: relaxed, PBE.

Its total energy is -6.929 eV per atom. The distance to the lowest polymorph of the same formula is 5.40 kcal/mol of atoms. As for the formation energy without anion corrections: -0.29 eV per atom.

Cell and atoms, written as POSCAR:
```
TcPS
1.0
-0.4726 -2.0262 2.1576
2.6275 -4.1872 -2.4683
4.8759 0.8491 3.0197
Tc P S
2 2 2
Direct
0.2379 0.4554 0.3015
0.8571 0.9608 0.7983
0.2443 0.2662 0.9377
0.4537 0.0728 0.4830
0.1374 0.5706 0.6748
0.6939 0.7703 0.1948
```

Sm3TlSb2: relaxed, PBE.

Its total energy is -4.945 eV per atom. As for the formation energy without anion corrections: -0.82 eV per atom.

Cell and atoms, written as POSCAR:
```
Sm3TlSb2
1.0
6.3118 0.0000 0.0000
0.0000 8.7912 0.0035
-3.1559 -2.1988 6.8674
Sm Tl Sb
6 2 4
Direct
0.5008 0.2500 0.0000
0.4992 0.7500 0.0000
0.1768 0.0883 0.3534
0.8235 0.4117 0.6466
0.1765 0.5883 0.3534
0.8232 0.9117 0.6466
0.9992 0.7500 0.0000
0.0008 0.2500 0.0000
0.6640 0.5821 0.3283
0.6643 0.0821 0.3283
0.3357 0.9179 0.6717
0.3360 0.4179 0.6717
```

LaYTmHg: relaxed, PBE.

Its total energy is -4.128 eV per atom. Its formation energy is -86.6 meV/atom.

Cell and atoms, written as POSCAR:
```
LaYTmHg
1.0
-2.7189 -3.4728 3.2909
-2.7470 -4.2528 -2.1564
1.8589 -5.1285 0.7248
Y Tm Hg La
1 1 1 1
Direct
0.0000 0.0000 0.0000
0.2500 0.2500 0.2500
0.7500 0.7500 0.7500
0.5000 0.5000 0.5000
```

BaMgTe2I: relaxed, PBE.

Its total energy is -2.329 eV per atom. The distance to the lowest polymorph of the same formula is 21.01 kcal/mol of atoms. As for the formation energy without anion corrections: -0.06 eV per atom.

Cell and atoms, written as POSCAR:
```
BaMgTe2I
1.0
-5.7070 -2.6055 2.2008
2.9602 -5.9148 0.6737
1.6685 1.5348 6.1438
I Mg Te Ba
1 1 2 1
Direct
0.0000 0.0000 0.5000
0.5000 0.5000 0.5000
0.0000 0.5000 0.0000
0.5000 0.0000 0.0000
0.0000 0.0000 0.0000
```

Ag2BF5: relaxed, PBE.

Its total energy is -4.655 eV per atom. The distance to the lowest polymorph of the same formula is 0.42 kcal/mol of atoms. As for the formation energy without anion corrections: -1.94 eV per atom.

Cell and atoms, written as POSCAR:
```
Ag2BF5
1.0
6.7661 1.6415 -1.4094
1.6485 6.7532 -1.4019
-4.8226 -4.8132 4.3613
Ag B F
2 1 5
Direct
0.3395 0.8499 0.6262
0.8485 0.3387 0.6258
0.9518 0.9515 0.8409
0.9215 0.2436 0.0997
0.0326 0.0317 0.7835
0.8400 0.8409 0.1165
0.2431 0.9211 0.1002
0.6000 0.5997 0.3612
```

AcTb2PrNd4: relaxed, PBE.

Its total energy is -4.623 eV per atom. Its formation energy is 29.6 meV/atom.

Cell and atoms, written as POSCAR:
```
AcTb2PrNd4
1.0
-1.3122 2.3612 -4.4629
2.1030 -2.9958 -5.2523
-9.1080 -3.0097 -1.9632
Ac Tb Pr Nd
1 2 1 4
Direct
0.5000 0.5000 0.5000
0.7449 0.7556 0.7545
0.2551 0.2444 0.2455
0.0000 0.0000 0.0000
0.1231 0.1249 0.6289
0.3736 0.3754 0.8773
0.8769 0.8751 0.3711
0.6264 0.6246 0.1227
```

Sr4InPb3: relaxed, PBE.

Its total energy is -3.067 eV per atom. Its formation energy is -493.3 meV/atom.

Cell and atoms, written as POSCAR:
```
Sr4InPb3
1.0
5.5756 0.0000 1.6458
2.5449 4.9609 1.6458
0.0542 0.0331 10.0833
Pb Sr In
3 4 1
Direct
0.2524 0.2524 0.2427
0.7476 0.7476 0.7573
0.5000 0.5000 0.5000
0.8745 0.8745 0.3764
0.3755 0.3755 0.8735
0.1255 0.1255 0.6236
0.6245 0.6245 0.1265
0.0000 0.0000 0.0000
```

Tb2DyCd: relaxed, PBE.

Its total energy is -3.766 eV per atom. The distance to the lowest polymorph of the same formula is 1.70 kcal/mol of atoms. Its formation energy is -71.1 meV/atom.

Cell and atoms, written as POSCAR:
```
Tb2DyCd
1.0
3.5676 0.0000 0.0000
1.7838 3.0896 0.0000
1.7838 1.0299 10.8408
Cd Tb Dy
1 2 1
Direct
0.0000 0.0000 0.0000
0.2551 0.2551 0.2348
0.7449 0.7449 0.7652
0.5000 0.5000 0.5000
```

Zr2CrGaH: relaxed, PBE.

Its total energy is -6.892 eV per atom.

Cell and atoms, written as POSCAR:
```
Zr2CrGaH
1.0
4.5635 0.0000 0.0000
0.0000 4.5635 0.0000
0.0000 0.0000 3.5317
Cr Ga Zr H
1 1 2 1
Direct
0.0000 0.0000 0.5000
0.5000 0.5000 0.5000
0.0000 0.5000 0.0000
0.5000 0.0000 0.0000
0.0000 0.0000 0.0000
```

Sn5Hg2Pd12: relaxed, PBE.

Its total energy is -4.684 eV per atom. Its formation energy is -318.9 meV/atom.

Cell and atoms, written as POSCAR:
```
Sn5Hg2Pd12
1.0
5.6016 0.0000 0.0000
-2.8008 7.6169 -0.0016
0.0000 -2.6904 8.6833
Sn Hg Pd
5 2 12
Direct
0.3143 0.6285 0.6424
0.3487 0.6974 0.1463
0.0000 0.0000 0.5000
0.6513 0.3026 0.8537
0.6857 0.3715 0.3576
0.7552 0.0000 0.0000
0.2448 0.0000 0.0000
0.1111 0.2222 0.3101
0.0527 0.6157 0.8898
0.5629 0.6157 0.8898
0.0951 0.6852 0.3985
0.5902 0.6852 0.3985
0.4890 0.9779 0.6468
0.5110 0.0221 0.3532
0.9049 0.3148 0.6015
0.4098 0.3148 0.6015
0.9473 0.3843 0.1102
0.4371 0.3843 0.1102
0.8889 0.7778 0.6899
```

MnZn5Au4: relaxed, PBE.

Its total energy is -3.003 eV per atom. Its formation energy is -138.5 meV/atom.

Cell and atoms, written as POSCAR:
```
MnZn5Au4
1.0
-0.9011 -2.0075 -2.3379
2.4114 1.0572 -1.8372
9.1731 -10.8610 5.7903
Mn Zn Au
1 5 4
Direct
0.0000 0.0000 0.0000
0.5000 0.5000 0.0918
0.5000 0.5000 0.2956
0.5000 0.5000 0.5000
0.5000 0.5000 0.7044
0.5000 0.5000 0.9082
0.0000 0.0000 0.1914
0.0000 0.0000 0.3966
0.0000 0.0000 0.6034
0.0000 0.0000 0.8086
```

Zr5SiSb3: relaxed, PBE.

Its total energy is -7.534 eV per atom. As for the formation energy without anion corrections: -0.81 eV per atom.

Cell and atoms, written as POSCAR:
```
Zr5SiSb3
1.0
-2.8307 8.1096 1.1761
-5.6700 -6.4164 -1.3577
-0.3110 -0.9437 5.7583
Zr Si Sb
10 2 6
Direct
0.2603 0.0000 0.2500
0.2603 0.2603 0.7500
0.0000 0.7397 0.7500
0.0000 0.2603 0.2500
0.7397 0.7397 0.2500
0.7397 0.0000 0.7500
0.3333 0.6667 0.0000
0.6667 0.3333 0.5000
0.6667 0.3333 0.0000
0.3333 0.6667 0.5000
0.0000 0.0000 0.0000
0.0000 0.0000 0.5000
0.6048 0.0000 0.2500
0.6048 0.6048 0.7500
0.0000 0.3952 0.7500
0.0000 0.6048 0.2500
0.3952 0.3952 0.2500
0.3952 0.0000 0.7500
```